(1)
Entry from Alexandria: crystalline PmSmPdAu at its relaxed geometry (GGA-PBE).

Structure (POSCAR):
```
PmSmPdAu
1.0
4.728 0.000 0.000
0.000 1.934 5.455
0.000 -1.934 5.455
Pm Sm Pd Au
1 1 1 1
Direct
0.000 0.000 0.000 Pm
0.500 0.725 0.725 Sm
0.000 0.275 0.275 Pd
0.500 0.446 0.446 Au
```

Distance to the lowest polymorph of the same formula (eV/atom): 0.000
Space-group type: Amm2
Calculated volume (Å³ per cell): 100


(2)
Entry from Alexandria: crystalline PmTiPdAu at its relaxed geometry (GGA-PBE).

Structure (POSCAR):
```
PmTiPdAu
1.0
0.000 3.462 3.462
3.462 0.000 3.462
3.462 3.462 0.000
Pm Ti Pd Au
1 1 1 1
Direct
0.000 0.000 0.000 Pm
0.500 0.500 0.500 Ti
0.750 0.750 0.750 Pd
0.250 0.250 0.250 Au
```

Space-group type: F-43m
Calculated volume (Å³ per cell): 83


(3)
Entry from Alexandria: crystalline PmTlPdAu at its relaxed geometry (GGA-PBE).

Structure (POSCAR):
```
PmTlPdAu
1.0
0.000 3.536 3.536
3.536 0.000 3.536
3.536 3.536 0.000
Pm Tl Pd Au
1 1 1 1
Direct
0.000 0.000 0.000 Pm
0.500 0.500 0.500 Tl
0.750 0.750 0.750 Pd
0.250 0.250 0.250 Au
```

Space-group type: F-43m
Calculated volume (Å³ per cell): 88


(4)
Entry from Alexandria: crystalline PmTmPdAu at its relaxed geometry (GGA-PBE).

Structure (POSCAR):
```
PmTmPdAu
1.0
0.000 3.582 3.582
3.582 0.000 3.582
3.582 3.582 0.000
Pm Tm Pd Au
1 1 1 1
Direct
0.000 0.000 0.000 Pm
0.500 0.500 0.500 Tm
0.750 0.750 0.750 Pd
0.250 0.250 0.250 Au
```

Distance to the lowest polymorph of the same formula (eV/atom): 0.043
Space-group type: F-43m
Calculated volume (Å³ per cell): 92


(5)
Entry from Alexandria: crystalline PmTmPdAu at its relaxed geometry (GGA-PBE).

Structure (POSCAR):
```
PmTmPdAu
1.0
4.724 0.000 0.000
0.000 1.888 5.331
0.000 -1.888 5.331
Pm Tm Pd Au
1 1 1 1
Direct
0.000 0.000 0.000 Pm
0.500 0.724 0.724 Tm
0.000 0.272 0.272 Pd
0.500 0.443 0.443 Au
```

Distance to the lowest polymorph of the same formula (eV/atom): 0.000
Space-group type: Amm2
Calculated volume (Å³ per cell): 95


(6)
Entry from Alexandria: crystalline PmYPdAu at its relaxed geometry (GGA-PBE).

Structure (POSCAR):
```
PmYPdAu
1.0
4.728 0.000 0.000
0.000 1.911 5.384
0.000 -1.911 5.384
Pm Y Pd Au
1 1 1 1
Direct
0.000 0.000 0.000 Pm
0.500 0.724 0.724 Y
0.000 0.274 0.274 Pd
0.500 0.444 0.444 Au
```

Distance to the lowest polymorph of the same formula (eV/atom): 0.000
Space-group type: Amm2
Calculated volume (Å³ per cell): 97


| no. | DFT formation energy (meV per atom) | magnetization (μB/f.u.) |
| --- | --- | --- |
| 1 | -834.3 | 0.0 |
| 2 | -430.6 | 1.5 |
| 3 | -558.8 | 0.0 |
| 4 | -828.6 | 0.0 |
| 5 | -871.4 | 0.0 |
| 6 | -860.3 | 0.0 |